LaPr2Nd | PBE | optimized geometry

The distance to the lowest polymorph of the same formula is 5 meV per atom. Its size of the total moment is 0.0 μB/f.u. The value obtained for the energy of formation from the pure elements is 0.02 eV per atom.

It has space group Cm (No. 8), with a = 6.446 Å, b = 3.724 Å, c = 12.324 Å, α = 90.00°, β = 100.09° and γ = 90.00°. The asymmetric unit holds La at (0.000, 0.000, 0.000), Pr at (0.082, 0.500, 0.747), Pr at (0.252, 0.500, 0.254) and Nd at (0.167, 0.000, 0.501).


La4PrNd10 | PBE | optimized geometry

Its size of the total moment is 0.0 μB/f.u. The value obtained for the energy of formation from the pure elements is 0.22 eV per atom.

It has space group I4/mmm (No. 139), with a = 11.674 Å, b = 11.674 Å, c = 8.112 Å, α = 90.00°, β = 90.00° and γ = 90.00°. The asymmetric unit holds La at (0.227, 0.227, 0.000), Pr at (0.000, 0.000, 0.000), Nd at (0.000, 0.210, 0.292) and Nd at (0.000, 0.500, 0.250).


La2PrNd | PBE | optimized geometry

The distance to the lowest polymorph of the same formula is 112 meV per atom. Its size of the total moment is 0.1 μB/f.u. The value obtained for the energy of formation from the pure elements is 0.12 eV per atom.

It has space group Fm-3m (No. 225), with a = 8.380 Å, b = 8.380 Å, c = 8.380 Å, α = 90.00°, β = 90.00° and γ = 90.00°. The asymmetric unit holds La at (0.250, 0.250, 0.250), Pr at (0.000, 0.000, 0.000) and Nd at (0.000, 0.000, 0.500).


La6PrNd2 | PBE | optimized geometry

The distance to the lowest polymorph of the same formula is 211 meV per atom. Its size of the total moment is 0.0 μB/f.u. The value obtained for the energy of formation from the pure elements is 0.22 eV per atom.

It has space group I4/mmm (No. 139), with a = 8.090 Å, b = 8.090 Å, c = 10.147 Å, α = 90.00°, β = 90.00° and γ = 90.00°. The asymmetric unit holds La at (0.000, 0.000, 0.199), La at (0.234, 0.234, 0.000), Pr at (0.000, 0.000, 0.500) and Nd at (0.000, 0.500, 0.250).


La2PrNd | PBE | optimized geometry

The distance to the lowest polymorph of the same formula is 0 meV per atom. Its size of the total moment is 0.0 μB/f.u. The value obtained for the energy of formation from the pure elements is 0.01 eV per atom.

It has space group P4/mmm (No. 123), with a = 5.255 Å, b = 5.255 Å, c = 5.229 Å, α = 90.00°, β = 90.00° and γ = 90.00°. The asymmetric unit holds La at (0.000, 0.500, 0.000), Pr at (0.000, 0.000, 0.500) and Nd at (0.500, 0.500, 0.500).


La2PrNd7 | PBE | optimized geometry

The distance to the lowest polymorph of the same formula is 0 meV per atom. Its size of the total moment is 0.0 μB/f.u. The value obtained for the energy of formation from the pure elements is 0.01 eV per atom.

It has space group P-1 (No. 2), with a = 6.401 Å, b = 6.413 Å, c = 9.789 Å, α = 109.08°, β = 102.65° and γ = 99.52°. The asymmetric unit holds La at (0.000, 0.200, 0.400), Pr at (0.000, 0.000, 0.000), Nd at (0.001, 0.401, 0.801), Nd at (0.499, 0.401, 0.299), Nd at (0.499, 0.799, 0.100) and Nd at (0.500, 0.000, 0.500).


La3Pr8Nd3 | PBE | optimized geometry

Its size of the total moment is 0.0 μB/f.u. The value obtained for the energy of formation from the pure elements is 0.10 eV per atom.

It has space group Immm (No. 71), with a = 5.861 Å, b = 11.052 Å, c = 15.824 Å, α = 90.00°, β = 90.00° and γ = 90.00°. The asymmetric unit holds La at (0.000, 0.000, 0.000), La at (0.000, 0.307, 0.000), Pr at (0.000, 0.160, 0.222), Pr at (0.000, 0.337, 0.397), Nd at (0.000, 0.000, 0.500) and Nd at (0.000, 0.500, 0.184).


La3Pr8Nd | PBE | optimized geometry

Its size of the total moment is 0.0 μB/f.u. The value obtained for the energy of formation from the pure elements is 0.24 eV per atom.

It has space group I222 (No. 23), with a = 6.605 Å, b = 9.113 Å, c = 14.726 Å, α = 90.00°, β = 90.00° and γ = 90.00°. The asymmetric unit holds La at (0.000, 0.000, 0.000), La at (0.000, 0.500, 0.384), Pr at (0.133, 0.331, 0.904), Pr at (0.157, 0.148, 0.714) and Nd at (0.000, 0.000, 0.500).


La2Pr3Nd6 | PBE | optimized geometry

The distance to the lowest polymorph of the same formula is 229 meV per atom. Its size of the total moment is 0.0 μB/f.u. The value obtained for the energy of formation from the pure elements is 0.24 eV per atom.

It has space group I4/mmm (No. 139), with a = 4.913 Å, b = 4.913 Å, c = 34.375 Å, α = 90.00°, β = 90.00° and γ = 90.00°. The asymmetric unit holds La at (0.000, 0.000, 0.045), Pr at (0.000, 0.000, 0.298), Pr at (0.000, 0.000, 0.500), Nd at (0.000, 0.000, 0.197) and Nd at (0.000, 0.500, 0.121).


La3PrNd4 | PBE | optimized geometry

The distance to the lowest polymorph of the same formula is 12 meV per atom. Its size of the total moment is 0.0 μB/f.u. The value obtained for the energy of formation from the pure elements is 0.01 eV per atom.

It has space group Pmna (No. 53), with a = 10.540 Å, b = 7.389 Å, c = 7.390 Å, α = 90.00°, β = 90.00° and γ = 90.00°. The asymmetric unit holds La at (0.000, 0.000, 0.000), La at (0.250, 0.250, 0.250), Pr at (0.000, 0.500, 0.500), Nd at (0.000, 0.000, 0.500), Nd at (0.000, 0.500, 0.000) and Nd at (0.250, 0.250, 0.750).


La7PrNd4 | PBE | optimized geometry

The distance to the lowest polymorph of the same formula is 0 meV per atom. Its size of the total moment is 0.0 μB/f.u. The value obtained for the energy of formation from the pure elements is 0.01 eV per atom.

It has space group P-1 (No. 2), with a = 6.446 Å, b = 7.421 Å, c = 9.820 Å, α = 79.26°, β = 70.96° and γ = 89.90°. The asymmetric unit holds La at (0.000, 0.000, 0.000), La at (0.000, 0.167, 0.334), La at (0.499, 0.417, 0.334), La at (0.500, 0.250, 0.001), Pr at (0.000, 0.500, 0.000), Nd at (0.001, 0.667, 0.334) and Nd at (0.500, 0.083, 0.666).


LaPrNd6 | PBE | optimized geometry

Its size of the total moment is 0.0 μB/f.u. The value obtained for the energy of formation from the pure elements is 0.01 eV per atom.

It has space group P4/mmm (No. 123), with a = 5.223 Å, b = 5.223 Å, c = 10.449 Å, α = 90.00°, β = 90.00° and γ = 90.00°. The asymmetric unit holds La at (0.000, 0.000, 0.000), Pr at (0.000, 0.000, 0.500), Nd at (0.000, 0.500, 0.251), Nd at (0.500, 0.500, 0.000) and Nd at (0.500, 0.500, 0.500).


La8PrNd2 | PBE | optimized geometry

The distance to the lowest polymorph of the same formula is 0 meV per atom. Its size of the total moment is 0.0 μB/f.u. The value obtained for the energy of formation from the pure elements is 0.01 eV per atom.

It has space group C2/m (No. 12), with a = 18.953 Å, b = 5.265 Å, c = 8.310 Å, α = 90.00°, β = 105.25° and γ = 90.00°. The asymmetric unit holds La at (0.046, 0.000, 0.226), La at (0.091, 0.500, 0.955), La at (0.137, 0.000, 0.683), La at (0.182, 0.500, 0.411), Pr at (0.000, 0.500, 0.500) and Nd at (0.227, 0.000, 0.136).


La3PrNd | PBE | optimized geometry

The distance to the lowest polymorph of the same formula is 0 meV per atom. Its size of the total moment is 0.0 μB/f.u. The value obtained for the energy of formation from the pure elements is 0.12 eV per atom.

It has space group P-1 (No. 2), with a = 6.707 Å, b = 6.714 Å, c = 10.077 Å, α = 90.28°, β = 108.71° and γ = 119.91°. The asymmetric unit holds La at (0.136, 0.473, 0.188), La at (0.277, 0.344, 0.812), La at (0.309, 0.153, 0.460), Pr at (0.460, 0.938, 0.812), Nd at (0.000, 0.000, 0.000) and Nd at (0.000, 0.500, 0.500).


La8PrNd5 | PBE | optimized geometry

Its size of the total moment is 0.0 μB/f.u. The value obtained for the energy of formation from the pure elements is 0.20 eV per atom.

It has space group I-4 (No. 82), with a = 9.885 Å, b = 9.885 Å, c = 10.566 Å, α = 90.00°, β = 90.00° and γ = 90.00°. The asymmetric unit holds La at (0.072, 0.173, 0.149), La at (0.077, 0.313, 0.494), Pr at (0.000, 0.000, 0.500), Nd at (0.000, 0.500, 0.250) and Nd at (0.104, 0.294, 0.822).


La3Pr2Nd6 | PBE | optimized geometry

The distance to the lowest polymorph of the same formula is 0 meV per atom. Its size of the total moment is 0.0 μB/f.u. The value obtained for the energy of formation from the pure elements is 0.01 eV per atom.

It has space group P-1 (No. 2), with a = 6.438 Å, b = 8.270 Å, c = 8.274 Å, α = 107.41°, β = 97.09° and γ = 104.94°. The asymmetric unit holds La at (0.000, 0.000, 0.000), La at (0.091, 0.364, 0.819), Pr at (0.273, 0.092, 0.456), Nd at (0.182, 0.727, 0.638), Nd at (0.363, 0.455, 0.275) and Nd at (0.455, 0.819, 0.091).


La8Pr2Nd3 | PBE | optimized geometry

The distance to the lowest polymorph of the same formula is 0 meV per atom. Its size of the total moment is 0.0 μB/f.u. The value obtained for the energy of formation from the pure elements is 0.13 eV per atom.

It has space group C2/m (No. 12), with a = 13.761 Å, b = 11.936 Å, c = 6.326 Å, α = 90.00°, β = 114.05° and γ = 90.00°. The asymmetric unit holds La at (0.043, 0.000, 0.280), La at (0.139, 0.500, 0.576), La at (0.170, 0.235, 0.164), Pr at (0.215, 0.000, 0.798), Nd at (0.000, 0.253, 0.500) and Nd at (0.000, 0.500, 0.000).


La3Pr9Nd2 | PBE | optimized geometry

Its size of the total moment is 0.0 μB/f.u. The value obtained for the energy of formation from the pure elements is 0.25 eV per atom.

It has space group Immm (No. 71), with a = 5.631 Å, b = 10.659 Å, c = 17.624 Å, α = 90.00°, β = 90.00° and γ = 90.00°. The asymmetric unit holds La at (0.000, 0.000, 0.000), La at (0.000, 0.500, 0.327), Pr at (0.000, 0.150, 0.308), Pr at (0.000, 0.226, 0.124), Pr at (0.000, 0.500, 0.000) and Nd at (0.000, 0.255, 0.500).


LaPr5Nd | PBE | optimized geometry

The distance to the lowest polymorph of the same formula is 0 meV per atom. Its size of the total moment is 0.0 μB/f.u. The value obtained for the energy of formation from the pure elements is 0.17 eV per atom.

It has space group C2/c (No. 15), with a = 6.802 Å, b = 23.725 Å, c = 6.746 Å, α = 90.00°, β = 110.20° and γ = 90.00°. The asymmetric unit holds La at (0.000, 0.171, 0.250), Pr at (0.000, 0.137, 0.750), Pr at (0.043, 0.295, 0.004), Pr at (0.227, 0.046, 0.156) and Nd at (0.000, 0.419, 0.250).


La5PrNd4 | PBE | optimized geometry

The distance to the lowest polymorph of the same formula is 174 meV per atom. Its size of the total moment is 0.0 μB/f.u. The value obtained for the energy of formation from the pure elements is 0.30 eV per atom.

It has space group Pmmn (No. 59, origin choice 2), with a = 6.976 Å, b = 9.298 Å, c = 11.744 Å, α = 90.00°, β = 90.00° and γ = 90.00°. The asymmetric unit holds La at (0.004, 0.068, 0.220), La at (0.250, 0.250, 0.714), Pr at (0.250, 0.750, 0.321), Nd at (0.004, 0.750, 0.041) and Nd at (0.250, 0.049, 0.494).